Entry 1:
# Ce6GeP2Se3 | the Alexandria database | GGA-PBE | optimized geometry
# Formation energy (no corrections), eV per atom: -1.559
# Total moment, μB/f.u.: 4.7
data_Ce6GeP2Se3
_chemical_formula_sum 'Ce12 Ge2 P4 Se6'
_cell_length_a 18.234
_cell_length_b 4.174
_cell_length_c 8.373
_cell_angle_alpha 90.00
_cell_angle_beta 103.51
_cell_angle_gamma 90.00
_symmetry_space_group_name_H-M 'C 1 2/m 1'
_symmetry_Int_Tables_number 12
loop_
_symmetry_equiv_pos_as_xyz
'x,y,z'
'-x,-y,-z'
'-x,y,-z'
'x,-y,z'
'x+1/2,y+1/2,z'
'-x+1/2,-y+1/2,-z'
'-x+1/2,y+1/2,-z'
'x+1/2,-y+1/2,z'
loop_
_atom_site_label
_atom_site_type_symbol
_atom_site_fract_x
_atom_site_fract_y
_atom_site_fract_z
_atom_site_occupancy
Ce1 Ce 0.004 0.000 0.250 1
Ce2 Ce 0.166 0.500 0.094 1
Ce3 Ce 0.170 0.500 0.575 1
Ge1 Ge 0.000 0.500 0.000 1
P1 P 0.167 0.000 0.334 1
Se1 Se 0.000 0.500 0.500 1
Se2 Se 0.165 0.000 0.833 1

=====

Entry 2:
# Ce8Ge3Te4P | the Alexandria database | GGA-PBE | optimized geometry
# Formation energy (no corrections), eV per atom: -1.175
# Total moment, μB/f.u.: 6.7
data_Ce8Ge3Te4P
_chemical_formula_sum 'Ce24 Ge9 Te12 P3'
_cell_length_a 8.6518
_cell_length_b 8.6518
_cell_length_c 21.6302
_cell_angle_alpha 90.00
_cell_angle_beta 90.00
_cell_angle_gamma 120.00
_symmetry_space_group_name_H-M 'R -3 m'
_symmetry_Int_Tables_number 166
_symmetry_space_group_name_Hall '-R 3 2"'
loop_
_atom_site_label
_atom_site_type_symbol
_atom_site_fract_x
_atom_site_fract_y
_atom_site_fract_z
_atom_site_occupancy
Ce1 Ce 0.0000 0.0000 0.2423 1
Ce2 Ce 0.0047 0.5024 0.2410 1
Ge1 Ge 0.0000 0.5000 0.5000 1
Te1 Te 0.0000 0.0000 0.0000 1
Te2 Te 0.0000 0.5000 0.0000 1
P1 P 0.0000 0.0000 0.5000 1